Here is crystalline Ce2GaNi at its relaxed geometry from Alexandria. Energies are from PBE-GGA.

It has space group R3m (No. 160, hexagonal axes), with a = 4.2460 Å, b = 4.2460 Å, c = 15.4772 Å, α = 90.00°, β = 90.00° and γ = 120.00°. Symmetry generates all atoms from Ce at (0.0000, 0.0000, 0.0000), Ce at (0.0000, 0.0000, 0.2337), Ga at (0.0000, 0.0000, 0.4475) and Ni at (0.0000, 0.0000, 0.7964).

Its crystal system is trigonal. The total energy is -5.59 eV per atom.

---

Here is crystalline OsPd2Au at its relaxed geometry from Alexandria. Energies are from PBE-GGA.

It has space group I-42d (No. 122), with a = 7.174 Å, b = 7.174 Å, c = 5.445 Å, α = 90.00°, β = 90.00° and γ = 90.00°. Symmetry generates all atoms from Os at (0.000, 0.000, 0.000), Pd at (0.231, 0.250, 0.125) and Au at (0.000, 0.000, 0.500).

Its crystal system is tetragonal. Its polymorph energy (0 for the lowest one) is 1.12 eV per formula unit.

---

Here is crystalline Re2BMoRu at its relaxed geometry from Alexandria. Energies are from PBE-GGA.

It has space group P4/mmm (No. 123), with a = 4.726 Å, b = 4.726 Å, c = 4.615 Å, α = 90.00°, β = 90.00° and γ = 90.00°. Symmetry generates all atoms from Re at (0.000, 0.500, 0.000), B at (0.000, 0.000, 0.500), Mo at (0.500, 0.500, 0.000) and Ru at (0.500, 0.500, 0.500).

Its crystal system is tetragonal. The total energy is -7.39 eV per atom.